Ca2LaY: single point on PBEsol structure, SCAN.

Cell lengths 3.9318, 5.9765, 12.3319 Å; angles 90.00, 90.00, 90.00 degrees
Space group Cmm2 (No. 35)
Inequivalent atoms, fractional coordinates:
1 Ca 0.0000 0.0000 0.0000
2 Ca 0.0000 0.5000 0.2643
3 La 0.0000 0.5000 0.7365
4 Y 0.0000 0.0000 0.5096

Properties
**Magnetization**: 0.07 μB per formula unit
**Electronic total energy**: -179.8 eV/cell
**ΔE to the lowest computed polymorph**: 38 meV per atom
**E_form**: 0.09 eV per atom